1.
Here is Ga2ReMo after structural relaxation from the Alexandria database. Energies are from PBE.

excess energy over the best structure of this formula in the dataset: 0.0 meV/atom
total DFT energy (no corrections): -7.20 eV/atom
energy relative to the elements: 0.5 eV/f.u.
space-group type: R-3m, No. 166
volume: 15.34 A^3/atom

Lattice parameters (Å, degrees): 2.8545 2.8545 8.8507 80.72 80.72 60.00
Last column: nearest neighbours and their distance in Å.
Atoms (fractional coordinates):
Ga: 0.2489 0.2489 0.2533  3 Re 2.71, 3 Mo 2.75, 6 Ga 2.85
Ga: 0.7511 0.7511 0.7467  3 Re 2.71, 3 Mo 2.75, 6 Ga 2.85
Mo: 0.0000 0.0000 0.0000  6 Ga 2.75, 6 Mo 2.85
Re: 0.5000 0.5000 0.5000  6 Ga 2.71, 6 Re 2.85

***

2.
Here is YTm3Pd12 after structural relaxation from the Alexandria database. Energies are from PBE.

total DFT energy (no corrections): -6.03 eV/atom
energy relative to the elements: -14.3 eV/f.u.
space-group type: P4/mmm, No. 123
volume: 17.29 A^3/atom

Lattice parameters (Å, degrees): 4.0994 4.0994 16.4577 90.00 90.00 90.00
Last column: nearest neighbours and their distance in Å.
Atoms (fractional coordinates):
Pd: 0.5000 0.0000 0.3756  4 Tm 2.89-2.90, 8 Pd 2.90
Pd: 0.5000 0.0000 0.6244  4 Tm 2.89-2.90, 8 Pd 2.90
Pd: 0.5000 0.5000 0.2511  8 Pd 2.89-2.90, 4 Tm 2.90
Pd: 0.5000 0.5000 0.7489  8 Pd 2.89-2.90, 4 Tm 2.90
Pd: 0.0000 0.5000 0.6244  4 Tm 2.89-2.90, 8 Pd 2.90
Pd: 0.0000 0.5000 0.3756  4 Tm 2.89-2.90, 8 Pd 2.90
Pd: 0.5000 0.5000 0.5000  8 Pd 2.90, 4 Tm 2.90
Pd: 0.5000 0.0000 0.8727  8 Pd 2.89-2.93, 2 Tm 2.90, 2 Y 2.93
Pd: 0.0000 0.5000 0.8727  8 Pd 2.89-2.93, 2 Tm 2.90, 2 Y 2.93
Pd: 0.5000 0.0000 0.1273  8 Pd 2.89-2.93, 2 Tm 2.90, 2 Y 2.93
Pd: 0.0000 0.5000 0.1273  8 Pd 2.89-2.93, 2 Tm 2.90, 2 Y 2.93
Pd: 0.5000 0.5000 0.0000  4 Y 2.90, 8 Pd 2.93
Tm: 0.0000 0.0000 0.2517  12 Pd 2.89-2.90
Tm: 0.0000 0.0000 0.7483  12 Pd 2.89-2.90
Tm: 0.0000 0.0000 0.5000  12 Pd 2.90
Y: 0.0000 0.0000 0.0000  12 Pd 2.90-2.93

***

3.
Here is CsGaCuF6 after structural relaxation from the Alexandria database. Energies are from PBE.

excess energy over the best structure of this formula in the dataset: 10.2 meV/atom
uncorrected formation energy: -2.3507 eV/atom
total DFT energy (no corrections): -4.48 eV/atom
space-group type: P1, No. 1
volume: 18.16 A^3/atom

Lattice parameters (Å, degrees): 5.5153 5.3236 6.5083 89.24 88.61 58.84
Last column: nearest neighbours and their distance in Å.
Atoms (fractional coordinates):
F: 0.0503 0.5936 0.6914  1 Ga 1.87
F: 0.6184 0.3752 0.6482  1 Cu 1.97, 1 Ga 1.97
F: 0.6055 0.0054 0.3320  1 Cu 1.95, 1 Ga 1.98
F: 0.3542 0.5958 0.3094  1 Ga 1.87
F: 0.3896 0.0043 0.6677  1 Cu 1.95, 1 Ga 1.98
F: 0.0060 0.3759 0.3515  1 Cu 1.96, 1 Ga 1.97
Ga: 0.3279 0.3440 0.5000  6 F 1.87-1.98
Cu: 0.6638 0.6728 0.4999  4 F 1.95-1.97
Cs: 0.9839 0.0330 0.9997  6 F 2.97-3.02

***

4.
Here is BaMg after structural relaxation from the Alexandria database. Energies are from PBE.

total DFT energy (no corrections): -1.77 eV/atom
energy relative to the elements: 0.0 eV/f.u.
space-group type: Cmcm, No. 63
volume: 43.66 A^3/atom

Lattice parameters (Å, degrees): 4.4778 7.2220 5.6804 90.00 90.00 71.94
Last column: nearest neighbours and their distance in Å.
Atoms (fractional coordinates):
Mg: 0.5631 0.8738 0.2500  2 Mg 3.33, 2 Ba 3.69
Mg: 0.4369 0.1262 0.7500  2 Mg 3.33, 2 Ba 3.69
Ba: 0.1506 0.6989 0.7500  7 Mg 3.69-3.93
Ba: 0.8494 0.3011 0.2500  7 Mg 3.69-3.93

***

5.
Here is TaPb2 after structural relaxation from the Alexandria database. Energies are from PBE.

total DFT energy (no corrections): -5.53 eV/atom
energy relative to the elements: 2.7 eV/f.u.
space-group type: P6_3/mmc, No. 194
volume: 24.78 A^3/atom

Lattice parameters (Å, degrees): 5.3155 5.3155 6.0760 90.00 90.00 120.00
Last column: nearest neighbours and their distance in Å.
Atoms (fractional coordinates):
Ta: 0.6667 0.3333 0.2500  5 Pb 3.04-3.07
Ta: 0.3333 0.6667 0.7500  5 Pb 3.04-3.07
Pb: 0.3333 0.6667 0.2500  5 Ta 3.04-3.07
Pb: 0.0000 0.0000 0.0000  2 Pb 3.04
Pb: 0.6667 0.3333 0.7500  5 Ta 3.04-3.07
Pb: 0.0000 0.0000 0.5000  2 Pb 3.04

***

6.
Here is U4Tc4Sn after structural relaxation from the Alexandria database. Energies are from PBE.

total DFT energy (no corrections): -9.72 eV/atom
energy relative to the elements: 3.1 eV/f.u.
space-group type: P4_2/nmc, No. 137
volume: 21.90 A^3/atom

Lattice parameters (Å, degrees): 7.0924 7.0924 7.8383 90.00 90.00 90.00
Last column: nearest neighbours and their distance in Å.
Atoms (fractional coordinates):
U: 0.2525 0.5000 0.1510  4 Tc 2.58-2.71
U: 0.2475 0.0000 0.3490  4 Tc 2.58-2.71
U: 0.0000 0.7525 0.6510  4 Tc 2.58-2.71
U: 0.5000 0.7475 0.8490  4 Tc 2.58-2.71
U: 0.7475 0.5000 0.1510  4 Tc 2.58-2.71
U: 0.7525 0.0000 0.3490  4 Tc 2.58-2.71
U: 0.0000 0.2475 0.6510  4 Tc 2.58-2.71
U: 0.5000 0.2525 0.8490  4 Tc 2.58-2.71
Sn: 0.5000 0.5000 0.5000  4 Tc 2.98, 4 U 3.25
Sn: 0.0000 0.0000 0.0000  4 Tc 2.98, 4 U 3.25
Tc: 0.5000 0.7817 0.2177  4 U 2.58-2.71
Tc: 0.5000 0.2183 0.2177  4 U 2.58-2.71
Tc: 0.2183 0.5000 0.7823  4 U 2.58-2.71
Tc: 0.2817 0.0000 0.7177  4 U 2.58-2.71
Tc: 0.7817 0.5000 0.7823  4 U 2.58-2.71
Tc: 0.7183 0.0000 0.7177  4 U 2.58-2.71
Tc: 0.0000 0.2817 0.2823  4 U 2.58-2.71
Tc: 0.0000 0.7183 0.2823  4 U 2.58-2.71

***

7.
Here is USbH2 after structural relaxation from the Alexandria database. Energies are from PBE.

total DFT energy (no corrections): -5.78 eV/atom
space-group type: R-3m, No. 166
volume: 14.04 A^3/atom

Lattice parameters (Å, degrees): 3.7501 3.7501 5.0936 68.40 68.40 60.00
Last column: nearest neighbours and their distance in Å.
Atoms (fractional coordinates):
U: 0.5000 0.5000 0.5000  6 H 2.21
Sb: 0.0000 0.0000 0.0000  8 H 2.73-2.87
H: 0.1971 0.1971 0.4088  3 U 2.21, 3 H 2.32
H: 0.8029 0.8029 0.5912  3 U 2.21, 3 H 2.32

***

8.
Here is Ho3Se2 after structural relaxation from the Alexandria database. Energies are from PBE.

excess energy over the best structure of this formula in the dataset: 112.7 meV/atom
uncorrected formation energy: -1.2550 eV/atom
total DFT energy (no corrections): -5.40 eV/atom
space-group type: R-3c, No. 167
volume: 26.90 A^3/atom

Lattice parameters (Å, degrees): 6.8845 6.8845 7.6649 63.31 63.31 60.00
Last column: nearest neighbours and their distance in Å.
Atoms (fractional coordinates):
Se: 0.3366 0.3366 0.9902  6 Ho 2.79-2.85
Se: 0.6634 0.6634 0.0098  6 Ho 2.79-2.85
Se: 0.8366 0.8366 0.4902  6 Ho 2.79-2.85
Se: 0.1634 0.1634 0.5098  6 Ho 2.79-2.85
Ho: 0.9176 0.2500 0.2500  4 Se 2.79-2.85
Ho: 0.5824 0.9176 0.2500  4 Se 2.79-2.85
Ho: 0.2500 0.5824 0.2500  4 Se 2.79-2.85
Ho: 0.7500 0.4176 0.7500  4 Se 2.79-2.85
Ho: 0.0824 0.7500 0.7500  4 Se 2.79-2.85
Ho: 0.4176 0.0824 0.7500  4 Se 2.79-2.85

***

9.
Here is Tb2LuCd after structural relaxation from the Alexandria database. Energies are from PBE.

excess energy over the best structure of this formula in the dataset: 92.3 meV/atom
total DFT energy (no corrections): -3.72 eV/atom
energy relative to the elements: -0.2 eV/f.u.
space-group type: Fm-3m, No. 225
volume: 28.12 A^3/atom

Lattice parameters (Å, degrees): 5.4186 5.4186 5.4186 60.00 60.00 60.00
Last column: nearest neighbours and their distance in Å.
Atoms (fractional coordinates):
Tb: 0.2500 0.2500 0.2500  4 Cd 3.32, 4 Lu 3.32
Tb: 0.7500 0.7500 0.7500  4 Cd 3.32, 4 Lu 3.32
Cd: 0.0000 0.0000 0.0000  8 Tb 3.32
Lu: 0.5000 0.5000 0.5000  8 Tb 3.32

***

10.
Here is Zr3SnAs after structural relaxation from the Alexandria database. Energies are from PBE.

excess energy over the best structure of this formula in the dataset: 257.2 meV/atom
total DFT energy (no corrections): -6.98 eV/atom
energy relative to the elements: -0.6 eV/f.u.
space-group type: Pm-3m, No. 221
volume: 25.12 A^3/atom

Lattice parameters (Å, degrees): 5.0083 5.0083 5.0083 90.00 90.00 90.00
Last column: nearest neighbours and their distance in Å.
Atoms (fractional coordinates):
Zr: 0.0000 0.5000 0.0000  2 As 2.50
Zr: 0.5000 0.0000 0.0000  2 As 2.50
Zr: 0.0000 0.0000 0.5000  2 As 2.50
Sn: 0.5000 0.5000 0.5000  12 Zr 3.54
As: 0.0000 0.0000 0.0000  6 Zr 2.50

***

11.
Here is ZrIn3F8 after structural relaxation from the Alexandria database. Energies are from PBE.

uncorrected formation energy: -2.4971 eV/atom
total DFT energy (no corrections): -5.14 eV/atom
space-group type: Pm-3m, No. 221
volume: 16.62 A^3/atom

Lattice parameters (Å, degrees): 5.8423 5.8423 5.8423 90.00 90.00 90.00
Last column: nearest neighbours and their distance in Å.
Atoms (fractional coordinates):
In: 0.5000 0.5000 0.0000  8 F 2.67
In: 0.5000 0.0000 0.5000  8 F 2.67
In: 0.0000 0.5000 0.5000  8 F 2.67
F: 0.7842 0.2158 0.7842  1 Zr 2.18
F: 0.7842 0.7842 0.7842  1 Zr 2.18
F: 0.2158 0.2158 0.7842  1 Zr 2.18
F: 0.2158 0.7842 0.2158  1 Zr 2.18
F: 0.7842 0.7842 0.2158  1 Zr 2.18
F: 0.2158 0.7842 0.7842  1 Zr 2.18
F: 0.7842 0.2158 0.2158  1 Zr 2.18
F: 0.2158 0.2158 0.2158  1 Zr 2.18
Zr: 0.0000 0.0000 0.0000  8 F 2.18

***

12.
Here is TlCo2Hg after structural relaxation from the Alexandria database. Energies are from PBE.

excess energy over the best structure of this formula in the dataset: 117.9 meV/atom
total DFT energy (no corrections): -3.71 eV/atom
energy relative to the elements: 2.0 eV/f.u.
space-group type: Cm, No. 8
volume: 17.70 A^3/atom

Lattice parameters (Å, degrees): 5.7140 5.7140 4.5364 70.48 70.48 30.63
Last column: nearest neighbours and their distance in Å.
Atoms (fractional coordinates):
Co: 0.0398 0.0398 0.9857  2 Co 2.33
Co: 0.7079 0.7079 0.7657  2 Co 2.33
Tl: 0.2704 0.2704 0.2129  5 Co 2.80-3.06, 2 Tl 3.02
Hg: 0.4818 0.4818 0.5357  5 Co 2.79-3.02, 2 Hg 3.02